Entry 1:
PBE CsCu3C, optimized geometry; crystal system = cubic; energy relative to the lowest polymorph listed for this composition = 2.189 eV/atom; ΔE_f = 3.0459 eV per atom; total magnetic moment = 0.409 μB per atom
1.0
5.6260 0.0000 0.0000
0.0000 5.6260 0.0000
0.0000 0.0000 5.6260
C Cu Cs
1 3 1
Direct
0.5000 0.5000 0.5000
0.5000 0.0000 0.0000
0.0000 0.0000 0.5000
0.0000 0.5000 0.0000
0.0000 0.0000 0.0000

Entry 2:
PBE CsCuC2, optimized geometry; crystal system = cubic; ΔE_f = 3.0844 eV per atom; total magnetic moment = 0.000 μB per atom
1.0
0.0000 3.2139 3.2139
3.2139 0.0000 3.2139
3.2139 3.2139 0.0000
C Cs Cu
2 1 1
Direct
0.7500 0.7500 0.7500
0.2500 0.2500 0.2500
0.5000 0.5000 0.5000
0.0000 0.0000 0.0000

Entry 3:
PBE CsCu3C, optimized geometry; crystal system = cubic; energy relative to the lowest polymorph listed for this composition = 0.000 eV/atom; ΔE_f = 0.8574 eV per atom; total magnetic moment = 0.000 μB per atom
1.0
-1.1391 -2.7167 3.1594
0.1768 -3.3039 -2.7772
4.1631 -0.6030 0.9824
C Cs Cu
1 1 3
Direct
0.0000 0.0000 0.0000
0.5000 0.5000 0.5000
0.5000 0.0000 0.0000
0.0000 0.0000 0.5000
0.0000 0.5000 0.0000

Entry 4:
PBE Cs2CuC, optimized geometry; crystal system = cubic; ΔE_f = 1.3996 eV per atom; total magnetic moment = 0.750 μB per atom
1.0
0.0000 4.2101 4.2101
4.2101 0.0000 4.2101
4.2101 4.2101 0.0000
C Cs Cu
1 2 1
Direct
0.0000 0.0000 0.0000
0.7500 0.7500 0.7500
0.2500 0.2500 0.2500
0.5000 0.5000 0.5000

Entry 5:
PBE CsCuC2, optimized geometry; crystal system = tetragonal; ΔE_f = 0.2624 eV per atom; total magnetic moment = 0.000 μB per atom
1.0
4.9472 0.0000 0.0000
0.0000 4.9472 0.0000
0.0000 0.0000 9.3625
C Cu Cs
4 2 2
Direct
0.5000 0.8730 0.0000
0.1270 0.5000 0.5000
0.5000 0.1270 0.0000
0.8730 0.5000 0.5000
0.5000 0.5000 0.5000
0.5000 0.5000 0.0000
0.0000 0.0000 0.2500
0.0000 0.0000 0.7500

Entry 6:
PBE CsCuC2, optimized geometry; crystal system = tetragonal; ΔE_f = 1.7955 eV per atom; total magnetic moment = 0.500 μB per atom
1.0
6.1111 0.0000 0.0000
0.0000 6.1111 0.0000
3.0555 3.0555 4.3529
Cs C Cu
2 4 2
Direct
0.0000 0.0000 0.0000
0.7500 0.2500 0.5000
0.3758 0.6250 0.2500
0.8750 0.6242 0.7500
0.3742 0.1250 0.2500
0.3750 0.6258 0.7500
0.2500 0.7500 0.5000
0.5000 0.5000 0.0000

Entry 7:
PBE CsCu2C, optimized geometry; crystal system = tetragonal; ΔE_f = 0.5368 eV per atom; total magnetic moment = 0.000 μB per atom
1.0
-4.5770 3.8233 -1.7617
-4.1722 -3.7736 2.6500
-3.9788 2.2377 4.2185
Cu C Cs
4 2 2
Direct
0.8750 0.6251 0.7500
0.3751 0.1250 0.2500
0.3749 0.6250 0.2500
0.3750 0.6249 0.7500
0.5000 0.5000 0.0000
0.2500 0.7500 0.5000
0.7500 0.2500 0.5000
0.0000 0.0000 0.0000

Entry 8:
PBE Cs2MnCuC, optimized geometry; crystal system = tetragonal; ΔE_f = 0.8373 eV per atom; total magnetic moment = 0.759 μB per atom
1.0
6.7250 0.0000 0.0000
0.0000 3.8175 0.0000
0.0000 0.0000 6.7250
Cu C Cs Mn
1 1 2 1
Direct
0.5000 0.5000 0.5000
0.0000 0.0000 0.0000
0.5000 0.0000 0.0000
0.0000 0.0000 0.5000
0.0000 0.5000 0.0000

What is the formula in the first record?
CsCu3C

Which value of total magnetic moment does entry 5 give?
0.000 μB per atom

Look up the total magnetic moment of the first one.
0.409 μB per atom

Which value of ΔE_f does entry 4 give?
1.3996 eV per atom